Below is a geometry-optimized PuGeOs structure, with properties calculated at the GGA-PBE level.

a = 3.716 Å, b = 5.638 Å, c = 5.782 Å
α = 90.00°, β = 90.00°, γ = 109.24°
Fractional positions:
Ge  0.609  0.217  0.750
Ge  0.391  0.783  0.250
Os  0.000  0.000  0.000
Os  0.000  0.000  0.500
Pu  0.675  0.349  0.250
Pu  0.325  0.651  0.750

Properties
E_form	-0.27	eV per atom
density of states at the Fermi level	18.401	states/eV/cell
total magnetization	1.50	μB/atom
uncorrected energy	-10.329	eV/atom